## AlOsNO2 (PBE-GGA)

Data for a relaxed structure of AlOsNO2.

extended XYZ file:
```
5
Lattice="-2.922 1.929 0.662 -1.505 -1.260 -2.974 -1.479 -2.922 1.986" Properties=species:S:1:pos:R:3 pbc="T T T"
Al 0.000 0.000 0.000
O -0.753 -0.630 -1.487
O -1.461 0.965 0.331
N -0.740 -1.461 0.993
Os -2.953 -1.126 -0.163
```

**Crystal system**: tetragonal
**M_tot**: 0.00 μB/cell
**E_form (uncorrected)**: -16 meV/atom



## AlOsNO2 (PBE-GGA)

Data for a relaxed structure of AlOsNO2.

extended XYZ file:
```
5
Lattice="-3.747 0.459 1.099 0.405 -2.921 2.601 1.096 2.536 2.676" Properties=species:S:1:pos:R:3 pbc="T T T"
N 0.548 1.268 1.338
O 0.203 -1.460 1.301
O -1.873 0.230 0.550
Al -1.123 0.037 3.188
Os 0.000 0.000 0.000
```

**Crystal system**: tetragonal
**M_tot**: 0.00 μB/cell
**E_form (uncorrected)**: -138 meV/atom



## AlOsN2O (PBE-GGA)

Data for a relaxed structure of AlOsN2O.

extended XYZ file:
```
5
Lattice="-3.402 0.018 -1.515 1.513 -0.138 -3.400 -0.069 -3.539 0.113" Properties=species:S:1:pos:R:3 pbc="T T T"
Al 0.000 0.000 0.000
O -0.035 -1.770 0.056
N -1.701 0.009 -0.757
Os -0.979 -1.829 -2.401
N 0.757 -0.069 -1.700
```

**Crystal system**: tetragonal
**M_tot**: 0.27 μB/cell
**E_form (uncorrected)**: 705 meV/atom



## AlP3NO10 (PBE-GGA)

Data for a relaxed structure of AlP3NO10.

extended XYZ file:
```
30
Lattice="-3.879 3.168 0.514 -1.265 -0.303 -7.674 -7.433 -8.619 -2.981" Properties=species:S:1:pos:R:3 pbc="T T T"
O -9.708 -3.133 -8.631
N -9.967 -3.547 -5.574
O -3.128 -0.124 -1.506
O -7.367 -4.007 -2.927
P -2.761 -1.418 -0.625
O -9.450 -5.631 -8.633
P -2.389 1.311 -1.594
O -9.839 -4.277 -2.568
O -9.214 -8.123 -8.962
P -6.129 -2.980 -3.081
O -2.739 -1.478 -7.572
Al 0.000 0.000 0.000
P -10.189 -7.066 -8.546
Al -3.717 -4.310 -1.490
O -5.211 -1.748 -7.212
O -8.474 -7.348 -3.906
O -3.364 2.368 -1.178
O -4.104 1.593 -6.234
O -3.192 1.438 -4.009
P -6.449 -2.775 -7.059
O -6.343 -2.333 -4.551
O -4.855 -3.759 -2.963
O -2.870 -2.623 -1.509
O -6.235 -3.422 -5.589
O -9.386 -7.193 -6.131
P -8.552 -4.034 -1.841
O -6.264 -3.988 -7.931
O -7.723 -1.996 -7.177
N -2.611 -2.208 -4.566
O -6.314 -1.767 -2.209
```

**Crystal system**: monoclinic
**M_tot**: 5.91 μB/cell
**E_form (uncorrected)**: -1609 meV/atom



## AlPNO2 (PBE-GGA)

Data for a relaxed structure of AlPNO2.

extended XYZ file:
```
5
Lattice="-1.877 0.471 -3.030 -2.549 -2.214 1.235 -1.863 3.054 1.629" Properties=species:S:1:pos:R:3 pbc="T T T"
N -0.932 1.527 0.814
P -3.145 0.655 -0.083
O -1.274 -1.107 0.617
Al 0.000 0.000 0.000
O -0.938 0.235 -1.515
```

**Crystal system**: tetragonal
**M_tot**: 0.80 μB/cell
**E_form (uncorrected)**: -260 meV/atom



## AlPNO2 (PBE-GGA)

Data for a relaxed structure of AlPNO2.

extended XYZ file:
```
5
Lattice="-0.469 3.220 -1.098 -2.514 0.418 2.302 2.488 1.214 2.497" Properties=species:S:1:pos:R:3 pbc="T T T"
O -0.235 1.610 -0.549
Al -0.248 2.426 1.851
O -1.257 0.209 1.151
P 0.000 0.000 0.000
N 1.244 0.607 1.249
```

**Crystal system**: tetragonal
**M_tot**: 0.00 μB/cell
**E_form (uncorrected)**: -554 meV/atom